1.
NaZrAg3O4: optimized geometry, GGA-PBE.

Summary:
ρ	4.79	g cm⁻³
space-group type	P-43m, No. 215
raw total energy	-0.1943	Ha/atom

abc: 5.583 5.583 5.583
angles: 90.00 90.00 90.00
Sites, in units of the cell vectors:
O 0.712 0.712 0.288
Ag 0.500 0.500 0.000
Na 0.000 0.000 0.000
Ag 0.500 0.000 0.500
O 0.712 0.288 0.712
O 0.288 0.712 0.712
O 0.288 0.288 0.288
Ag 0.000 0.500 0.500
Zr 0.500 0.500 0.500

2.
NaThNb: optimized geometry, GGA-PBE.

Summary:
ρ	6.78	g cm⁻³
polymorph energy (0 for the lowest one)	0.0	kJ per mole of atoms
space-group type	F-43m, No. 216

abc: 4.940 4.940 4.940
angles: 60.00 60.00 60.00
Each line ends with the local moment (μB).
Sites, in units of the cell vectors:
Na 0.250 0.250 0.250  0.00
Th 0.750 0.750 0.750  0.37
Nb 0.000 0.000 0.000  1.43

3.
NdHo3Cu4: optimized geometry, GGA-PBE.

Summary:
ρ	8.69	g cm⁻³
space-group type	Pm, No. 6
formation energy from the elements	-0.243	eV/atom

abc: 5.372 4.472 7.102
angles: 90.00 90.82 90.00
Sites, in units of the cell vectors:
Cu 0.368 0.500 0.540
Ho 0.365 0.000 0.816
Ho 0.133 0.000 0.321
Ho 0.865 0.500 0.679
Cu 0.126 0.500 0.027
Cu 0.629 0.000 0.478
Cu 0.883 0.000 0.957
Nd 0.632 0.500 0.182

4.
SmYInCu2: optimized geometry, GGA-PBE.

Summary:
ρ	7.26	g cm⁻³
space-group type	Amm2, No. 38
raw total energy	-0.1705	Ha/atom

abc: 3.638 7.353 7.353
angles: 34.00 90.00 90.00
Sites, in units of the cell vectors:
In 0.000 0.002 0.002
Cu 0.000 0.797 0.797
Sm 0.500 0.368 0.368
Y 0.500 0.633 0.633
Cu 0.000 0.200 0.200

The highest ρ belongs to which entry?
NdHo3Cu4

Please write out number 2 again, unchanged.
NaThNb: optimized geometry, GGA-PBE.

Summary:
ρ	6.78	g cm⁻³
polymorph energy (0 for the lowest one)	0.0	kJ per mole of atoms
space-group type	F-43m, No. 216

abc: 4.940 4.940 4.940
angles: 60.00 60.00 60.00
Each line ends with the local moment (μB).
Sites, in units of the cell vectors:
Na 0.250 0.250 0.250  0.00
Th 0.750 0.750 0.750  0.37
Nb 0.000 0.000 0.000  1.43

The highest ρ belongs to which entry?
NdHo3Cu4